(1)
A plane-wave DFT calculation with GGA-PBEsol was carried out for a relaxed ZrAg2Mo crystal.

Values from the calculation:
energy = -6.54 eV per atom
ΔE to the lowest computed polymorph = 130 meV per atom
N(E_F) = 0.90 states/eV/atom
calculated volume = 68.6 Å³/f.u.
energy relative to the elements = 1.33 eV/f.u.

Cell lengths 2.8158, 2.8158, 29.9581 Å; angles 90.00, 90.00, 120.00 degrees
Closest atoms and distances in Å follow each position.
Space group R-3m (No. 166, hexagonal axes)
Inequivalent atoms, fractional coordinates:
Zr: 0.0000 0.0000 0.0000 x3  6 Zr 2.82, 6 Ag 3.06
Ag: 0.0000 0.0000 0.2467 x6  6 Ag 2.82, 3 Mo 2.90, 3 Zr 3.06
Mo: 0.0000 0.0000 0.5000 x3  6 Mo 2.82, 6 Ag 2.90

=====

(2)
A plane-wave DFT calculation with GGA-PBEsol was carried out for a relaxed ZrAgMo2 crystal.

Values from the calculation:
energy = -8.53 eV per atom
ΔE to the lowest computed polymorph = 133 meV per atom
N(E_F) = 0.84 states/eV/atom
calculated volume = 67.8 Å³/f.u.
energy relative to the elements = 1.82 eV/f.u.

Cell lengths 2.7775, 2.7775, 30.4360 Å; angles 90.00, 90.00, 120.00 degrees
Closest atoms and distances in Å follow each position.
Space group R-3m (No. 166, hexagonal axes)
Inequivalent atoms, fractional coordinates:
Zr: 0.0000 0.0000 0.0000 x3  6 Zr 2.78, 6 Mo 3.10
Ag: 0.0000 0.0000 0.5000 x3  6 Ag 2.78, 6 Mo 2.90
Mo: 0.0000 0.0000 0.2461 x6  6 Mo 2.78, 3 Ag 2.90, 3 Zr 3.10

=====

(3)
A plane-wave DFT calculation with GGA-PBEsol was carried out for a relaxed ZrAg2Mo crystal.

Values from the calculation:
energy = -6.53 eV per atom
ΔE to the lowest computed polymorph = 139 meV per atom
N(E_F) = 0.67 states/eV/atom
calculated volume = 70.3 Å³/f.u.
energy relative to the elements = 1.36 eV/f.u.

Cell lengths 2.8931, 5.0445, 9.6355 Å; angles 90.00, 90.00, 90.00 degrees
Closest atoms and distances in Å follow each position.
Space group Imm2 (No. 44)
Inequivalent atoms, fractional coordinates:
Zr: 0.0000 0.0000 0.0000 x2  2 Mo 2.75, 2 Zr 2.89, 6 Ag 2.91-2.93
Ag: 0.0000 0.0000 0.5077 x2  4 Ag 2.76-2.89, 2 Mo 2.80, 4 Zr 2.91
Ag: 0.0000 0.5000 0.7640 x2  4 Ag 2.76-2.89, 4 Mo 2.91, 2 Zr 2.93
Mo: 0.0000 0.5000 0.2567 x2  2 Zr 2.75, 6 Ag 2.80-2.91, 2 Mo 2.89

=====

(4)
A plane-wave DFT calculation with GGA-PBEsol was carried out for a relaxed ZrAgMo2 crystal.

Values from the calculation:
energy = -8.42 eV per atom
ΔE to the lowest computed polymorph = 238 meV per atom
N(E_F) = 1.39 states/eV/atom
calculated volume = 67.2 Å³/f.u.
energy relative to the elements = 2.24 eV/f.u.

Cell lengths 6.4553, 6.4553, 6.4553 Å; angles 90.00, 90.00, 90.00 degrees
Closest atoms and distances in Å follow each position.
Space group Fm-3m (No. 225)
Inequivalent atoms, fractional coordinates:
Zr: 0.0000 0.0000 0.0000 x4  8 Mo 2.80
Ag: 0.0000 0.0000 0.5000 x4  8 Mo 2.80
Mo: 0.2500 0.2500 0.2500 x8  4 Zr 2.80, 4 Ag 2.80

=====

(5)
A plane-wave DFT calculation with GGA-PBEsol was carried out for a relaxed Zr2AgMo crystal.

Values from the calculation:
energy = -8.42 eV per atom
ΔE to the lowest computed polymorph = 0 meV per atom
N(E_F) = 0.83 states/eV/atom
calculated volume = 74.9 Å³/f.u.
energy relative to the elements = -0.40 eV/f.u.

Cell lengths 3.3703, 3.3703, 6.5922 Å; angles 90.00, 90.00, 90.00 degrees
Closest atoms and distances in Å follow each position.
Space group P4/mmm (No. 123)
Inequivalent atoms, fractional coordinates:
Zr: 0.0000 0.0000 0.2314 x2  4 Mo 2.83, 4 Ag 2.97, 1 Zr 3.05
Ag: 0.5000 0.5000 0.5000 x1  8 Zr 2.97, 2 Mo 3.30
Mo: 0.5000 0.5000 0.0000 x1  8 Zr 2.83

=====

(6)
A plane-wave DFT calculation with GGA-PBEsol was carried out for a relaxed ZrAg2Mo crystal.

Values from the calculation:
energy = -6.53 eV per atom
ΔE to the lowest computed polymorph = 138 meV per atom
N(E_F) = 1.26 states/eV/atom
calculated volume = 69.4 Å³/f.u.
energy relative to the elements = 1.36 eV/f.u.

Cell lengths 4.0809, 4.0809, 8.3350 Å; angles 90.00, 90.00, 90.00 degrees
Closest atoms and distances in Å follow each position.
Space group I-4m2 (No. 119)
Inequivalent atoms, fractional coordinates:
Zr: 0.0000 0.0000 0.0000 x2  8 Ag 2.89-2.92, 4 Mo 2.92
Ag: 0.0000 0.0000 0.5000 x2  4 Zr 2.89, 4 Mo 2.92, 4 Ag 2.92
Ag: 0.0000 0.5000 0.2500 x2  4 Mo 2.89, 4 Zr 2.92, 4 Ag 2.92
Mo: 0.0000 0.5000 0.7500 x2  8 Ag 2.89-2.92, 4 Zr 2.92

=====

(7)
A plane-wave DFT calculation with GGA-PBEsol was carried out for a relaxed Ag3N crystal.

Values from the calculation:
energy = -3.59 eV per atom
N(E_F) = 0.29 states/eV/atom
raw formation energy = 1.03 eV per atom
calculated volume = 58.1 Å³/f.u.

Cell lengths 3.8356, 3.8356, 7.8954 Å; angles 90.00, 90.00, 90.00 degrees
Closest atoms and distances in Å follow each position.
Space group I4/mmm (No. 139)
Inequivalent atoms, fractional coordinates:
Ag: 0.0000 0.0000 0.0000 x2  4 N 2.71, 8 Ag 2.75
Ag: 0.0000 0.5000 0.2500 x4  8 Ag 2.71-2.75, 4 N 2.75
N: 0.0000 0.0000 0.5000 x2  12 Ag 2.71-2.75

=====

(8)
A plane-wave DFT calculation with GGA-PBEsol was carried out for a relaxed Na3AgN crystal.

Values from the calculation:
energy = -2.12 eV per atom
N(E_F) = 0.49 states/eV/atom
raw formation energy = 1.09 eV per atom
calculated volume = 160.6 Å³/f.u.

Cell lengths 5.4359, 5.4359, 5.4359 Å; angles 90.00, 90.00, 90.00 degrees
Closest atoms and distances in Å follow each position.
Space group Pm-3m (No. 221)
Inequivalent atoms, fractional coordinates:
Na: 0.0000 0.0000 0.5000 x3  2 Ag 2.72
Ag: 0.0000 0.0000 0.0000 x1  6 Na 2.72
N: 0.5000 0.5000 0.5000 x1  12 Na 3.84